The following is a DFT calculation (PBE-GGA) of a relaxed structure of TaCrPb2.

a b c (Å): 4.9857 4.9857 4.9857
angles (deg): 60.00 60.00 60.00
Last column: nearest neighbours and their distance in Å.
Fractional coordinates of all 4 atoms:
Ta (0.0000, 0.0000, 0.0000)  4 Pb 3.05, 4 Cr 3.05
Cr (0.2500, 0.2500, 0.2500)  4 Ta 3.05, 4 Pb 3.05
Pb (0.5000, 0.5000, 0.5000)  4 Pb 3.05, 4 Cr 3.05
Pb (0.7500, 0.7500, 0.7500)  4 Ta 3.05, 4 Pb 3.05

Values from the calculation:
Formation energy = 0.9242 eV/atom
E above lowest polymorph = 574 meV/atom
E_tot = -6.299 eV/atom
Space group = F-43m (216)